The following is a PBE-GGA calculation of a geometry-optimized NaTeIrI2 structure, from Alexandria via LeMat-Bulk.

## Properties
- SG: P4/mmm
- Energy above the lowest structure with this stoichiometry: 127.85 kJ per mole of atoms
- Total DFT energy (no corrections): -10.14 eV/cell
- Calculated volume: 178.6 Å³/cell

a b c (Å): 5.5604 5.5604 5.7765
angles (deg): 90.00 90.00 90.00
Closest atoms and distances in Å follow each position.
Positions (direct):
Na 0.0000 0.0000 0.0000  4 I 2.78, 2 Te 2.89
Te 0.0000 0.0000 0.5000  2 Na 2.89
Ir 0.5000 0.5000 0.5000  4 Te 3.93, 8 I 4.01
I 0.0000 0.5000 0.0000  2 Na 2.78
I 0.5000 0.0000 0.0000  2 Na 2.78


The following is a PBE-GGA calculation of a geometry-optimized Pm3Y2Tm2 structure, from Alexandria via LeMat-Bulk.

## Properties
- SG: C2/m
- Total DFT energy (no corrections): -35.99 eV/cell
- Calculated volume: 227.3 Å³/cell

a b c (Å): 6.1886 6.1886 8.0306
angles (deg): 97.53 97.53 48.32
Closest atoms and distances in Å follow each position.
Positions (direct):
Pm 0.0000 0.0000 0.0000  6 Y 3.57-3.58, 2 Pm 3.58, 4 Tm 3.59
Pm 0.1418 0.1418 0.4284  4 Pm 3.55-3.59, 5 Tm 3.57-3.59, 3 Y 3.60
Pm 0.8582 0.8582 0.5716  4 Pm 3.55-3.59, 5 Tm 3.57-3.59, 3 Y 3.60
Y 0.2854 0.2854 0.8581  6 Pm 3.57-3.60, 2 Y 3.57, 4 Tm 3.58
Y 0.7146 0.7146 0.1419  6 Pm 3.57-3.60, 2 Y 3.57, 4 Tm 3.58
Tm 0.4286 0.4286 0.2863  7 Pm 3.57-3.59, 1 Tm 3.58, 4 Y 3.58
Tm 0.5714 0.5714 0.7137  7 Pm 3.57-3.59, 1 Tm 3.58, 4 Y 3.58


The following is a PBE-GGA calculation of a geometry-optimized BeReRh structure, from Alexandria via LeMat-Bulk.

## Properties
- SG: Cm
- Energy above the lowest structure with this stoichiometry: 5.41 kJ per mole of atoms
- Total DFT energy (no corrections): -48.39 eV/cell
- Calculated volume: 73.0 Å³/cell

a b c (Å): 4.5612 4.5612 5.6832
angles (deg): 127.06 127.06 58.67
Closest atoms and distances in Å follow each position.
Positions (direct):
Be 0.2473 0.7527 0.0000  2 Be 2.21-2.26, 3 Rh 2.38-2.44, 4 Re 2.42-2.47
Be 0.7527 0.2473 0.0000  2 Be 2.21-2.26, 3 Rh 2.38-2.44, 4 Re 2.42-2.47
Re 0.1617 0.1617 0.5093  4 Be 2.43-2.47, 3 Rh 2.54-2.66
Re 0.6512 0.6512 0.8011  4 Be 2.42, 1 Rh 2.51
Rh 0.3404 0.3404 0.1903  4 Be 2.38-2.44, 1 Re 2.51
Rh 0.8291 0.8291 0.4810  4 Be 2.39-2.49, 3 Re 2.54-2.66


The following is a PBE-GGA calculation of a geometry-optimized CdInSe structure, from Alexandria via LeMat-Bulk.

## Properties
- SG: P3m1
- Energy above the lowest structure with this stoichiometry: 9.63 kJ per mole of atoms
- Total DFT energy (no corrections): -7.15 eV/cell
- Calculated volume: 75.9 Å³/cell

a b c (Å): 5.4927 5.4927 2.9044
angles (deg): 90.00 90.00 120.00
Closest atoms and distances in Å follow each position.
Positions (direct):
Cd 0.0000 0.0000 0.0000  2 Cd 2.90, 3 Se 3.20, 3 In 3.24
In 0.3333 0.6667 0.7721  2 In 2.90, 3 Se 3.18, 3 Cd 3.24
Se 0.6667 0.3333 0.8656  2 Se 2.90, 3 In 3.18, 3 Cd 3.20


The following is a PBE-GGA calculation of a geometry-optimized CsRe2SeBr structure, from Alexandria via LeMat-Bulk.

## Properties
- SG: P4/mmm
- Total DFT energy (no corrections): -21.10 eV/cell
- Calculated volume: 146.6 Å³/cell

a b c (Å): 4.7453 4.7453 6.5120
angles (deg): 90.00 90.00 90.00
Closest atoms and distances in Å follow each position.
Positions (direct):
Cs 0.0000 0.0000 0.0000  2 Br 3.26, 4 Se 3.36
Re 0.0000 0.5000 0.5000  2 Br 2.37
Re 0.5000 0.0000 0.5000  2 Br 2.37
Se 0.5000 0.5000 0.0000  4 Cs 3.36
Br 0.0000 0.0000 0.5000  4 Re 2.37


The following is a PBE-GGA calculation of a geometry-optimized CrCd4 structure, from Alexandria via LeMat-Bulk.

## Properties
- SG: I4/mmm
- Total DFT energy (no corrections): -11.31 eV/cell
- Calculated volume: 115.6 Å³/cell

a b c (Å): 7.6870 7.6870 7.6870
angles (deg): 149.65 149.65 43.45
Closest atoms and distances in Å follow each position.
Positions (direct):
Cr 0.0000 0.0000 0.0000  8 Cd 3.15
Cd 0.2500 0.7500 0.5000  8 Cd 2.85-2.99
Cd 0.4048 0.4048 0.0000  5 Cd 2.72-2.99
Cd 0.5952 0.5952 0.0000  5 Cd 2.72-2.99
Cd 0.7500 0.2500 0.5000  8 Cd 2.85-2.99


The following is a PBE-GGA calculation of a geometry-optimized VIn3Si structure, from Alexandria via LeMat-Bulk.

## Properties
- SG: Pm-3m
- Energy above the lowest structure with this stoichiometry: 0.57 kJ per mole of atoms
- Total DFT energy (no corrections): -18.35 eV/cell
- Calculated volume: 143.9 Å³/cell

a b c (Å): 5.2403 5.2403 5.2403
angles (deg): 90.00 90.00 90.00
Closest atoms and distances in Å follow each position.
Positions (direct):
V 0.0000 0.0000 0.0000  6 In 2.62
In 0.0000 0.0000 0.5000  2 V 2.62
In 0.0000 0.5000 0.0000  2 V 2.62
In 0.5000 0.0000 0.0000  2 V 2.62
Si 0.5000 0.5000 0.5000  12 In 3.71


The following is a PBE-GGA calculation of a geometry-optimized Ca2In4Pb structure, from Alexandria via LeMat-Bulk.

## Properties
- SG: Fmmm
- Total DFT energy (no corrections): -20.48 eV/cell
- Calculated volume: 211.4 Å³/cell

a b c (Å): 6.9046 6.8920 6.3546
angles (deg): 62.68 62.47 54.85
Closest atoms and distances in Å follow each position.
Positions (direct):
Ca 0.0000 0.0000 0.5000  2 Pb 3.18, 8 In 3.45
Ca 0.5000 0.5000 0.0000  2 Pb 3.18, 8 In 3.45
In 0.0000 0.5000 0.0000  4 In 3.18, 2 Pb 3.45, 4 Ca 3.45
In 0.0000 0.5000 0.5000  4 In 3.18, 4 Ca 3.45, 2 Pb 3.45
In 0.5000 0.0000 0.0000  4 In 3.18, 4 Ca 3.45, 2 Pb 3.45
In 0.5000 0.0000 0.5000  4 In 3.18, 2 Pb 3.45, 4 Ca 3.45
Pb 0.0000 0.0000 0.0000  4 Ca 3.18, 8 In 3.45


The following is a PBE-GGA calculation of a geometry-optimized Nd2SmAl structure, from Alexandria via LeMat-Bulk.

## Properties
- SG: Fm-3m
- Energy above the lowest structure with this stoichiometry: 14.42 kJ per mole of atoms
- Total DFT energy (no corrections): -18.12 eV/cell
- Calculated volume: 117.4 Å³/cell

a b c (Å): 5.4955 5.4955 5.4955
angles (deg): 60.00 60.00 60.00
Closest atoms and distances in Å follow each position.
Positions (direct):
Nd 0.2500 0.2500 0.2500  4 Al 3.37, 4 Sm 3.37
Nd 0.7500 0.7500 0.7500  4 Sm 3.37, 4 Al 3.37
Sm 0.0000 0.0000 0.0000  8 Nd 3.37
Al 0.5000 0.5000 0.5000  8 Nd 3.37


The following is a PBE-GGA calculation of a geometry-optimized Ho4TlSn2 structure, from Alexandria via LeMat-Bulk.

## Properties
- SG: P2_1/m
- Total DFT energy (no corrections): -63.14 eV/cell
- Calculated volume: 399.0 Å³/cell

a b c (Å): 6.0204 6.6152 10.3402
angles (deg): 90.00 104.32 90.00
Closest atoms and distances in Å follow each position.
Positions (direct):
Ho 0.0251 0.0058 0.2637  4 Sn 3.13-3.27, 1 Tl 3.22, 3 Ho 3.23-3.48
Ho 0.0251 0.4942 0.2637  4 Sn 3.13-3.27, 1 Tl 3.22, 3 Ho 3.23-3.48
Ho 0.3562 0.7500 0.5385  2 Sn 3.01-3.22, 1 Tl 3.01
Ho 0.4702 0.7500 0.1553  3 Tl 3.25-3.34, 3 Sn 3.28-3.46, 2 Ho 3.58
Ho 0.5298 0.2500 0.8447  3 Tl 3.25-3.34, 3 Sn 3.28-3.46, 2 Ho 3.58
Ho 0.6438 0.2500 0.4615  2 Sn 3.01-3.22, 1 Tl 3.01
Ho 0.9749 0.5058 0.7363  4 Sn 3.13-3.27, 1 Tl 3.22, 3 Ho 3.23-3.48
Ho 0.9749 0.9942 0.7363  4 Sn 3.13-3.27, 1 Tl 3.22, 3 Ho 3.23-3.48
Tl 0.4484 0.7500 0.8384  1 Sn 2.92, 4 Ho 3.01-3.25
Tl 0.5516 0.2500 0.1616  1 Sn 2.92, 4 Ho 3.01-3.25
Sn 0.0804 0.2500 0.9990  1 Tl 2.92, 4 Ho 3.13-3.27
Sn 0.1953 0.2500 0.5412  7 Ho 3.01-3.28
Sn 0.8047 0.7500 0.4588  7 Ho 3.01-3.28
Sn 0.9196 0.7500 0.0010  1 Tl 2.92, 4 Ho 3.13-3.27